[1]
13
Lattice="5.7703 0.0000 2.3698 2.9100 7.5169 1.1244 0.0294 -0.0411 8.1384" Properties=species:S:1:pos:R:3 comment="RbCd7In5, relaxed, DFT PBE-GGA" spacegroup="Imm2 (44)" formation_enthalpy_0k_ev_per_atom=0.009 pbc="T T T"
Cd 3.9450 4.8203 6.8143
Cd 4.7437 2.7110 4.8695
Cd 3.5368 1.5990 7.8083
Cd 1.8763 4.7958 3.6415
Cd 2.2856 1.5833 2.6448
Cd 1.0665 2.6712 5.6132
Cd 5.1701 5.8844 3.8314
Rb 2.9416 7.4700 9.2575
In 0.0310 0.0187 4.0402
In 2.9087 0.0187 5.2220
In 1.4438 3.7256 0.6002
In 4.3214 3.7256 1.7820
In 6.4475 5.8308 8.9310

---

[2]
16
Lattice="-0.0745 2.4385 -5.6596 1.6072 -6.5724 0.5027 -15.8001 -3.9790 -1.5065" Properties=species:S:1:pos:R:3 comment="Rb3Cd2In3, relaxed, DFT PBE-GGA" spacegroup="Cmcm (63)" formation_enthalpy_0k_ev_per_atom=-0.009 pbc="T T T"
In -14.3261 -3.8961 -1.4902
In -11.2827 -4.9189 -1.9709
In 0.0587 -4.2169 -5.1732
In -5.0507 -5.5036 -5.6604
In -9.2166 -2.6093 -1.0030
In -2.9847 -3.1941 -4.6925
Rb -7.4393 -5.7351 -2.3731
Rb -0.1158 -0.6874 -3.6503
Rb -6.8281 -2.3778 -4.2903
Rb -2.3906 -6.3121 -2.6881
Rb -11.8768 -1.8009 -3.9753
Rb -14.1516 -7.4255 -3.0131
Cd -1.9572 -2.8031 -1.1820
Cd -4.6810 -3.4890 -1.4417
Cd -9.5864 -4.6240 -5.2217
Cd -12.3102 -5.3099 -5.4814

---

[3]
11
Lattice="5.0253 0.0000 0.0000 0.0000 8.3901 0.0000 0.0000 -4.1951 7.2661" Properties=species:S:1:pos:R:3 comment="RbCd6In4, relaxed, DFT PBE-GGA" spacegroup="P-6m2 (187)" formation_enthalpy_0k_ev_per_atom=-0.028 pbc="T T T"
In 2.5127 5.8281 1.4792
In 2.5127 2.5621 1.4792
In 0.0000 0.0000 4.8440
In 2.5127 4.1951 4.3077
Cd 0.0000 5.8034 3.3506
Cd 0.0000 2.5868 3.3506
Cd 2.5127 1.6229 5.7810
Cd 2.5127 -1.6229 5.7810
Cd 0.0000 4.1951 0.5649
Cd 2.5127 0.0000 2.9701
Rb 0.0000 0.0000 0.0000

---

[4]
11
Lattice="6.4481 0.0000 0.0000 3.2241 7.5526 -0.3012 3.2241 1.5956 7.3677" Properties=species:S:1:pos:R:3 comment="Rb2Cd4In5, relaxed, DFT PBE-GGA" spacegroup="C2/m (12)" formation_enthalpy_0k_ev_per_atom=-0.003 pbc="T T T"
In 8.1281 3.1654 5.9016
In 3.2241 4.5741 3.5332
In 4.7682 5.9829 1.1649
In 4.7682 3.1654 5.9016
In 8.1281 5.9829 1.1649
Cd 9.6722 8.2816 5.6466
Cd 9.6722 5.6569 6.7270
Cd 3.2241 0.8666 1.4198
Cd 3.2241 3.4913 0.3395
Rb 6.4481 2.2200 2.4922
Rb 6.4481 6.9282 4.5743

---

[5]
14
Lattice="-1.6454 4.6258 -2.0510 -8.3754 -1.8822 -4.4280 -7.8988 2.4608 4.9850" Properties=species:S:1:pos:R:3 comment="Rb3Cd9In2, relaxed, DFT PBE-GGA" spacegroup="Immm (71)" formation_enthalpy_0k_ev_per_atom=-0.051 pbc="T T T"
In -9.0434 1.8406 -2.3976
In -8.8762 3.3637 0.9035
Rb 0.0000 0.0000 0.0000
Rb -12.0469 1.7481 -0.1967
Rb -5.8727 3.4563 -1.2974
Cd -11.9023 3.4622 -3.3488
Cd -6.2135 -0.0450 -2.0187
Cd -11.7062 5.2493 0.5247
Cd -14.6442 4.1943 0.5022
Cd -6.0174 1.7422 1.8548
Cd -8.1371 0.2893 0.2785
Cd -3.1341 2.2977 0.7945
Cd -3.2754 1.0101 -1.9962
Cd -14.7855 2.9067 -2.2886

---

[6]
10
Lattice="5.0006 0.0000 0.0000 0.0000 5.0006 0.0000 0.0000 0.0000 12.4990" Properties=species:S:1:pos:R:3 comment="Rb2Cd7In, relaxed, DFT PBE-GGA" spacegroup="P-4m2 (115)" formation_enthalpy_0k_ev_per_atom=-0.057 pbc="T T T"
In 2.5003 2.5003 0.0000
Cd 0.0000 2.5003 7.9002
Cd 0.0000 2.5003 10.8319
Cd 2.5003 0.0000 4.5988
Cd 0.0000 0.0000 6.2495
Cd 0.0000 0.0000 0.0000
Cd 2.5003 0.0000 1.6671
Cd 2.5003 2.5003 6.2495
Rb 2.5003 0.0000 9.3763
Rb 0.0000 2.5003 3.1227